The following is a DFT calculation (PBE-GGA) of a relaxed structure of BaCa2Bi.

a = 5.4325 Å, b = 5.4325 Å, c = 20.0577 Å
α = 90.00°, β = 90.00°, γ = 120.00°
Last column: nearest neighbours and their distance in Å.
Space group R3m (No. 160, hexagonal axes)
Unique sites:
Ba 0.0000 0.0000 0.0000 (multiplicity 3)  4 Bi 3.82-4.25, 6 Ca 3.86-3.90
Ca 0.0000 0.0000 0.2179 (multiplicity 3)  3 Bi 3.48, 3 Ca 3.78
Ca 0.0000 0.0000 0.4458 (multiplicity 3)  3 Bi 3.19
Bi 0.0000 0.0000 0.8094 (multiplicity 3)  6 Ca 3.19-3.48

- total magnetization (Bohr magnetons per cell) = 2.35
- DFT formation energy (meV/atom) = -390

***

The following is a DFT calculation (PBE-GGA) of a relaxed structure of CaScPRu2.

a = 4.6047 Å, b = 4.6047 Å, c = 4.9921 Å
α = 90.00°, β = 90.00°, γ = 90.00°
Last column: nearest neighbours and their distance in Å.
Space group P4/mmm (No. 123)
Unique sites:
Ca 0.0000 0.0000 0.0000 (multiplicity 1)  4 Ru 2.30, 2 P 2.50
Sc 0.5000 0.5000 0.5000 (multiplicity 1)  4 P 3.26, 8 Ru 3.40
P 0.0000 0.0000 0.5000 (multiplicity 1)  2 Ca 2.50
Ru 0.0000 0.5000 0.0000 (multiplicity 2)  2 Ca 2.30

- total magnetization (Bohr magnetons per cell) = 0.00
- DFT formation energy (meV/atom) = 1398

***

The following is a DFT calculation (PBE-GGA) of a relaxed structure of ZrCd2Au.

a = 7.9488 Å, b = 7.9488 Å, c = 5.7514 Å
α = 90.00°, β = 90.00°, γ = 90.00°
Last column: nearest neighbours and their distance in Å.
Space group I-42d (No. 122)
Unique sites:
Zr 0.0000 0.0000 0.0000 (multiplicity 4)  2 Au 2.88, 4 Cd 3.03
Cd 0.2276 0.7500 0.6250 (multiplicity 8)  2 Au 2.78, 2 Cd 2.90, 2 Zr 3.03
Au 0.0000 0.0000 0.5000 (multiplicity 4)  4 Cd 2.78, 2 Zr 2.88

- total magnetization (Bohr magnetons per cell) = 0.00
- DFT formation energy (meV/atom) = 86

***

The following is a DFT calculation (PBE-GGA) of a relaxed structure of Ba3Ac3DyTe8.

a = 9.5036 Å, b = 9.5036 Å, c = 24.2912 Å
α = 90.00°, β = 90.00°, γ = 120.00°
Last column: nearest neighbours and their distance in Å.
Space group R-3m (No. 166, hexagonal axes)
Unique sites:
Ba 0.0000 0.5000 0.0000 (multiplicity 9)  6 Te 3.47-3.49
Ac 0.0000 0.5000 0.5000 (multiplicity 9)  6 Te 3.34-3.35
Dy 0.0000 0.0000 0.5000 (multiplicity 3)  6 Te 3.16
Te 0.0000 0.0000 0.2460 (multiplicity 6)  3 Ac 3.35, 3 Ba 3.47
Te 0.0174 0.5087 0.2407 (multiplicity 18)  1 Dy 3.16, 2 Ac 3.34, 2 Ba 3.49

- E_form (uncorrected) (meV per atom) = -1609
- total magnetization (Bohr magnetons per cell) = 0.00

***

The following is a DFT calculation (PBE-GGA) of a relaxed structure of TbPaAgAu.

a = 7.2512 Å, b = 7.2512 Å, c = 7.2512 Å
α = 90.00°, β = 90.00°, γ = 90.00°
Last column: nearest neighbours and their distance in Å.
Space group F-43m (No. 216)
Unique sites:
Tb 0.0000 0.0000 0.0000 (multiplicity 4)  4 Au 3.14, 4 Ag 3.14
Pa 0.0000 0.0000 0.5000 (multiplicity 4)  4 Ag 3.14, 4 Au 3.14
Ag 0.2500 0.2500 0.7500 (multiplicity 4)  4 Tb 3.14, 4 Pa 3.14
Au 0.2500 0.2500 0.2500 (multiplicity 4)  4 Tb 3.14, 4 Pa 3.14

- total magnetization (Bohr magnetons per cell) = 3.87
- DFT formation energy (meV/atom) = -159

***

The following is a DFT calculation (PBE-GGA) of a relaxed structure of Cs3MgI5.

a = 10.5226 Å, b = 10.5226 Å, c = 16.8775 Å
α = 90.00°, β = 90.00°, γ = 90.00°
Last column: nearest neighbours and their distance in Å.
Space group I4/mcm (No. 140)
Unique sites:
Cs 0.0000 0.0000 0.2500 (multiplicity 4)  10 I 4.22-4.36
Cs 0.1597 0.3403 0.0000 (multiplicity 8)  8 I 3.86-4.11
Mg 0.0000 0.5000 0.2500 (multiplicity 4)  4 I 2.73
I 0.0000 0.0000 0.0000 (multiplicity 4)  6 Cs 3.96-4.22
I 0.1459 0.3541 0.3483 (multiplicity 16)  1 Mg 2.73

- E_form (uncorrected) (meV per atom) = -1398
- total magnetization (Bohr magnetons per cell) = 0.01

***

The following is a DFT calculation (PBE-GGA) of a relaxed structure of SrAcZnIn.

a = 8.0415 Å, b = 8.0415 Å, c = 8.0415 Å
α = 90.00°, β = 90.00°, γ = 90.00°
Last column: nearest neighbours and their distance in Å.
Space group F-43m (No. 216)
Unique sites:
Sr 0.0000 0.0000 0.0000 (multiplicity 4)  4 In 3.48, 4 Zn 3.48
Ac 0.0000 0.0000 0.5000 (multiplicity 4)  4 In 3.48, 4 Zn 3.48
Zn 0.2500 0.2500 0.7500 (multiplicity 4)  4 Sr 3.48, 4 Ac 3.48
In 0.2500 0.2500 0.2500 (multiplicity 4)  4 Ac 3.48, 4 Sr 3.48

- total magnetization (Bohr magnetons per cell) = 0.00
- DFT formation energy (meV/atom) = -332

***

The following is a DFT calculation (PBE-GGA) of a relaxed structure of CdHgSe2.

a = 4.4080 Å, b = 7.6224 Å, c = 7.6332 Å
α = 80.40°, β = 73.22°, γ = 90.00°
Last column: nearest neighbours and their distance in Å.
Space group P1 (No. 1)
Unique sites:
Cd 0.0000 0.0000 0.0000 (multiplicity 1)  4 Se 2.68-2.69
Cd 0.2506 0.7502 0.4982 (multiplicity 1)  4 Se 2.68-2.69
Hg 0.5021 0.5023 0.9977 (multiplicity 1)  4 Se 2.71
Hg 0.7485 0.2491 0.4994 (multiplicity 1)  4 Se 2.71
Se 0.1852 0.0597 0.6270 (multiplicity 1)  2 Cd 2.68-2.69, 2 Hg 2.71
Se 0.4375 0.8158 0.1252 (multiplicity 1)  3 Cd 2.68-2.69, 1 Hg 2.71
Se 0.6892 0.5653 0.6211 (multiplicity 1)  2 Cd 2.68-2.69, 2 Hg 2.71
Se 0.9390 0.3120 0.1231 (multiplicity 1)  1 Cd 2.69, 3 Hg 2.71

- E_form (uncorrected) (meV per atom) = -417
- total magnetization (Bohr magnetons per cell) = 0.00
- energy above the most stable polymorph in this dataset (meV/atom) = 0.5